(1)
{"formula": "Pr4Ho7Tm", "functional": "GGA-PBE", "state": "relaxed", "energy_ev_per_cell": -54.5, "e_above_lowest_polymorph_ev_per_atom": 0.0000, "total_magnetization_mub_per_fu": 0.00, "dos_ef_per_ev_atom": 1.545, "delta_e_f_ev_per_atom": 0.091, "crystal_system": "triclinic", "lattice": [[6.5633, 0.0000, 0.0000], [0.9776, 6.7814, 0.0000], [2.0114, 0.5317, 8.8687]], "species": ["Pr", "Pr", "Pr", "Pr", "Ho", "Ho", "Ho", "Ho", "Ho", "Ho", "Ho", "Tm"], "frac_coords": [[0.1415, 0.3113, 0.2839], [0.3348, 0.8846, 0.6948], [0.6652, 0.1154, 0.3052], [0.8585, 0.6887, 0.7161], [0.0100, 0.2539, 0.9510], [0.1809, 0.8018, 0.3578], [0.3137, 0.3944, 0.6189], [0.5000, 0.0000, 0.0000], [0.6863, 0.6056, 0.3811], [0.8191, 0.1982, 0.6422], [0.9900, 0.7461, 0.0490], [0.5000, 0.5000, 0.0000]]}



(2)
{"formula": "BeGa", "functional": "GGA-PBE", "state": "relaxed", "energy_ev_per_cell": -20.1, "e_above_lowest_polymorph_ev_per_atom": 0.7116, "total_magnetization_mub_per_fu": 0.00, "dos_ef_per_ev_atom": 0.495, "delta_e_f_ev_per_atom": 0.869, "crystal_system": "cubic", "lattice": [[5.3330, 0.0000, 0.0000], [0.0000, 5.3330, 0.0000], [0.0000, 0.0000, 5.3330]], "species": ["Be", "Be", "Be", "Be", "Ga", "Ga", "Ga", "Ga"], "frac_coords": [[0.0000, 0.0000, 0.0000], [0.0000, 0.5000, 0.5000], [0.5000, 0.0000, 0.5000], [0.5000, 0.5000, 0.0000], [0.2500, 0.2500, 0.7500], [0.2500, 0.7500, 0.2500], [0.7500, 0.2500, 0.2500], [0.7500, 0.7500, 0.7500]]}



(3)
{"formula": "LaZrGe2", "functional": "GGA-PBE", "state": "relaxed", "energy_ev_per_cell": -76.5, "e_above_lowest_polymorph_ev_per_atom": 0.0000, "total_magnetization_mub_per_fu": 0.00, "dos_ef_per_ev_atom": 0.671, "delta_e_f_ev_per_atom": -0.697, "crystal_system": "trigonal", "lattice": [[4.0624, 0.0000, 0.0000], [-2.0312, 3.5182, 0.0000], [0.0000, 0.0000, 20.9126]], "species": ["La", "La", "La", "Zr", "Zr", "Zr", "Ge", "Ge", "Ge", "Ge", "Ge", "Ge"], "frac_coords": [[0.0000, 0.0000, 0.0000], [0.3333, 0.6667, 0.6667], [0.6667, 0.3333, 0.3333], [0.0000, 0.0000, 0.5000], [0.3333, 0.6667, 0.1667], [0.6667, 0.3333, 0.8333], [0.0000, 0.0000, 0.2386], [0.0000, 0.0000, 0.7614], [0.3333, 0.6667, 0.4280], [0.3333, 0.6667, 0.9053], [0.6667, 0.3333, 0.0947], [0.6667, 0.3333, 0.5720]]}



(4)
{"formula": "Tc2PPt2", "functional": "GGA-PBE", "state": "relaxed", "energy_ev_per_cell": -77.2, "e_above_lowest_polymorph_ev_per_atom": 0.0000, "total_magnetization_mub_per_fu": 0.00, "dos_ef_per_ev_atom": 0.738, "delta_e_f_ev_per_atom": -0.074, "crystal_system": "tetragonal", "lattice": [[6.1230, 0.0000, 0.0000], [0.0000, 6.1230, 0.0000], [0.0000, 0.0000, 4.1518]], "species": ["Tc", "Tc", "Tc", "Tc", "P", "P", "Pt", "Pt", "Pt", "Pt"], "frac_coords": [[0.1434, 0.3566, 0.0000], [0.3566, 0.8566, 0.0000], [0.6434, 0.1434, 0.0000], [0.8566, 0.6434, 0.0000], [0.0000, 0.0000, 0.0000], [0.5000, 0.5000, 0.0000], [0.1528, 0.6528, 0.5000], [0.3472, 0.1528, 0.5000], [0.6528, 0.8472, 0.5000], [0.8472, 0.3472, 0.5000]]}



(5)
{"formula": "Te3As2", "functional": "GGA-PBE", "state": "relaxed", "energy_ev_per_cell": -56.3, "e_above_lowest_polymorph_ev_per_atom": 0.0084, "total_magnetization_mub_per_fu": 0.00, "crystal_system": "trigonal", "formation_energy_uncorrected_ev_per_atom": -0.01, "lattice": [[4.0870, 0.0000, 0.0000], [-2.0435, 3.5394, 0.0000], [0.0000, 0.0000, 30.3926]], "species": ["Te", "Te", "Te", "Te", "Te", "Te", "Te", "Te", "Te", "As", "As", "As", "As", "As", "As"], "frac_coords": [[0.0000, 0.0000, 0.0000], [0.0000, 0.0000, 0.2195], [0.0000, 0.0000, 0.7805], [0.3333, 0.6667, 0.4472], [0.3333, 0.6667, 0.6667], [0.3333, 0.6667, 0.8861], [0.6667, 0.3333, 0.1139], [0.6667, 0.3333, 0.3333], [0.6667, 0.3333, 0.5528], [0.0000, 0.0000, 0.3943], [0.0000, 0.0000, 0.6057], [0.3333, 0.6667, 0.0610], [0.3333, 0.6667, 0.2724], [0.6667, 0.3333, 0.7276], [0.6667, 0.3333, 0.9390]]}